! PBE InRe2Se, optimized geometry; values from VASP
! - Total DFT energy (no corrections): -29.40 eV for the cell shown
! - Calculated volume: 78.5 Å³ per cell
! - M_tot: 0.00 Bohr magnetons per cell
! - Formation energy from raw total energies: 0.43 eV/atom
! - Distance to the lowest polymorph of the same formula: 17.8 kJ per mole of atoms
&SYSTEM
  ibrav = 0, nat = 4, ntyp = 3
/
ATOMIC_SPECIES
In 114.82 In.upf
Re 186.21 Re.upf
Se 78.96 Se.upf
CELL_PARAMETERS angstrom
2.9188 0.0000 0.0000
0.0000 3.7630 0.0000
0.0000 0.0000 7.1508
ATOMIC_POSITIONS crystal
In 0.0000 0.0000 0.0000
Re 0.0000 0.0000 0.4172
Re 0.5000 0.5000 0.2507
Se 0.5000 0.5000 0.6084

***

! PBE InRe2Se, optimized geometry; values from VASP
! - Total DFT energy (no corrections): -55.93 eV for the cell shown
! - Calculated volume: 159.0 Å³ per cell
! - M_tot: 0.00 Bohr magnetons per cell
! - Formation energy from raw total energies: 0.79 eV/atom
! - Distance to the lowest polymorph of the same formula: 52.4 kJ per mole of atoms
&SYSTEM
  ibrav = 0, nat = 8, ntyp = 3
/
ATOMIC_SPECIES
In 114.82 In.upf
Re 186.21 Re.upf
Se 78.96 Se.upf
CELL_PARAMETERS angstrom
-2.1064 2.1064 8.9589
2.1064 -2.1064 8.9589
2.1064 2.1064 -8.9589
ATOMIC_POSITIONS crystal
In 0.0000 0.0000 0.0000
In 0.7500 0.2500 0.5000
Re 0.2153 0.6250 0.0903
Re 0.3750 0.4653 0.5903
Re 0.5347 0.1250 0.9097
Re 0.8750 0.7847 0.4097
Se 0.2500 0.7500 0.5000
Se 0.5000 0.5000 0.0000

***

! PBE InRe2Se, optimized geometry; values from VASP
! - Total DFT energy (no corrections): -27.79 eV for the cell shown
! - Calculated volume: 68.3 Å³ per cell
! - M_tot: 0.00 Bohr magnetons per cell
! - Formation energy from raw total energies: 0.83 eV/atom
! - Distance to the lowest polymorph of the same formula: 56.5 kJ per mole of atoms
&SYSTEM
  ibrav = 0, nat = 4, ntyp = 3
/
ATOMIC_SPECIES
In 114.82 In.upf
Re 186.21 Re.upf
Se 78.96 Se.upf
CELL_PARAMETERS angstrom
-2.1245 2.1245 3.7850
2.1245 -2.1245 3.7850
2.1245 2.1245 -3.7850
ATOMIC_POSITIONS crystal
In 0.0000 0.0000 0.0000
Re 0.2500 0.7500 0.5000
Re 0.5000 0.5000 0.0000
Se 0.7500 0.2500 0.5000

***

! PBE InReSe, optimized geometry; values from VASP
! - Total DFT energy (no corrections): -17.91 eV for the cell shown
! - Calculated volume: 58.7 Å³ per cell
! - M_tot: 0.00 Bohr magnetons per cell
! - Formation energy from raw total energies: 0.25 eV/atom
! - Distance to the lowest polymorph of the same formula: 0.0 kJ per mole of atoms
&SYSTEM
  ibrav = 0, nat = 3, ntyp = 3
/
ATOMIC_SPECIES
In 114.82 In.upf
Re 186.21 Re.upf
Se 78.96 Se.upf
CELL_PARAMETERS angstrom
3.2186 0.0000 0.0000
-1.6093 2.7874 0.0000
0.0000 0.0000 6.5459
ATOMIC_POSITIONS crystal
In 0.0000 0.0000 0.0000
Re 0.6667 0.3333 0.3410
Se 0.3333 0.6667 0.5919